{"formula": "AcLuMgAu", "functional": "GGA-PBE", "state": "relaxed", "e_form_ev_per_atom": -0.32, "m_tot_mub_per_fu": 0.00, "e_tot_ev_per_atom": -3.70, "cell": [[5.404, 0.000, 0.000], [2.702, 4.680, 0.000], [2.702, 1.560, 4.412]], "species": ["Ac", "Lu", "Au", "Mg"], "fractional_positions": [[0.250, 0.250, 0.250], [0.750, 0.750, 0.750], [0.000, 0.000, 0.000], [0.500, 0.500, 0.500]]}

=====

{"formula": "Pm3Hg3Au", "functional": "GGA-PBE", "state": "relaxed", "e_form_ev_per_atom": -0.50, "m_tot_mub_per_fu": 0.00, "e_tot_ev_per_atom": -3.13, "cell": [[-4.150, -2.376, 1.009], [-1.100, 0.442, -3.480], [7.146, -8.023, -1.336]], "species": ["Pm", "Pm", "Pm", "Hg", "Hg", "Hg", "Au"], "fractional_positions": [[0.311, 0.811, 0.623], [0.695, 0.195, 0.391], [0.992, 0.992, 0.983], [0.149, 0.649, 0.299], [0.853, 0.353, 0.706], [0.567, 0.567, 0.133], [0.432, 0.432, 0.865]]}